Record 1
RhS2NO | PBE | optimized geometry

Summary:
Symmetry ... P4/mmm
Calculated density ... 5.2 Mg/m³
Total magnetic moment ... 1.54 μB/f.u.
DFT total energy ... -4.28 eV/atom
DOS(E_F) ... 0.572 states/eV per atom
Formation energy from raw total energies ... 1.49 eV/atom

Unit cell a=4.139 b=4.139 c=3.655 alpha=90.00 beta=90.00 gamma=90.00
Positions (direct):
S (0.000, 0.500, 0.000)
S (0.500, 0.000, 0.000)
Rh (0.500, 0.500, 0.500)
O (0.000, 0.000, 0.000)
N (0.000, 0.000, 0.500)

=====

Record 2
RhSN2O | PBE | optimized geometry

Summary:
Symmetry ... P4/mmm
Calculated density ... 5.1 Mg/m³
Total magnetic moment ... 0.40 μB/f.u.
DFT total energy ... -5.20 eV/atom
DOS(E_F) ... 0.687 states/eV per atom
Formation energy from raw total energies ... 1.42 eV/atom

Unit cell a=3.879 b=3.879 c=3.889 alpha=90.00 beta=90.00 gamma=90.00
Positions (direct):
S (0.500, 0.500, 0.500)
Rh (0.000, 0.000, 0.000)
O (0.000, 0.000, 0.500)
N (0.000, 0.500, 0.000)
N (0.500, 0.000, 0.000)